# 1
# SiGeP2O GGA-PBE relaxed
# energy relative to the lowest polymorph listed for this composition	0	meV per atom
# calculated density	3.87	g/cm3
# energy relative to the elements, uncorrected	-160.2	meV/atom
# crystal system	tetragonal
data_SiGeP2O
_chemical_formula_sum 'Si1 Ge1 P2 O1'
_cell_length_a 4.845
_cell_length_b 4.845
_cell_length_c 3.268
_cell_angle_alpha 90.00
_cell_angle_beta 90.00
_cell_angle_gamma 90.00
_space_group_name_H-M_alt 'P 4/m m m'
_space_group_IT_number 123
_space_group_name_Hall '-P 4 2'
loop_
_atom_site_label
_atom_site_type_symbol
_atom_site_fract_x
_atom_site_fract_y
_atom_site_fract_z
Si1 Si 0.000 0.000 0.000
Ge1 Ge 0.500 0.500 0.500
P1 P 0.000 0.500 0.000
O1 O 0.000 0.000 0.500

=====

# 2
# SiGeP2O GGA-PBE relaxed
# energy relative to the lowest polymorph listed for this composition	600	meV per atom
# calculated density	3.59	g/cm3
# energy relative to the elements, uncorrected	439.4	meV/atom
# crystal system	tetragonal
data_SiGeP2O
_chemical_formula_sum 'Si1 Ge1 P2 O1'
_cell_length_a 4.792
_cell_length_b 4.792
_cell_length_c 3.603
_cell_angle_alpha 90.00
_cell_angle_beta 90.00
_cell_angle_gamma 90.00
_space_group_name_H-M_alt 'P 4/m m m'
_space_group_IT_number 123
_space_group_name_Hall '-P 4 2'
loop_
_atom_site_label
_atom_site_type_symbol
_atom_site_fract_x
_atom_site_fract_y
_atom_site_fract_z
Si1 Si 0.000 0.000 0.000
Ge1 Ge 0.500 0.500 0.500
P1 P 0.000 0.500 0.500
O1 O 0.500 0.500 0.000

=====

# 3
# SiGePO2 GGA-PBE relaxed
# energy relative to the lowest polymorph listed for this composition	685	meV per atom
# calculated density	4.30	g/cm3
# energy relative to the elements, uncorrected	-218.6	meV/atom
# crystal system	tetragonal
data_SiGePO2
_chemical_formula_sum 'Si1 Ge1 P1 O2'
_cell_length_a 3.555
_cell_length_b 3.555
_cell_length_c 4.997
_cell_angle_alpha 90.00
_cell_angle_beta 90.00
_cell_angle_gamma 90.00
_space_group_name_H-M_alt 'P 4/m m m'
_space_group_IT_number 123
_space_group_name_Hall '-P 4 2'
loop_
_atom_site_label
_atom_site_type_symbol
_atom_site_fract_x
_atom_site_fract_y
_atom_site_fract_z
Si1 Si 0.000 0.000 0.000
Ge1 Ge 0.500 0.500 0.000
P1 P 0.500 0.500 0.500
O1 O 0.000 0.500 0.500

=====

# 4
# SnGeP2O8 GGA-PBE relaxed
# calculated density	4.14	g/cm3
# energy relative to the elements, uncorrected	-1894.5	meV/atom
# crystal system	monoclinic
data_SnGeP2O8
_chemical_formula_sum 'Sn2 Ge2 P4 O16'
_cell_length_a 7.986
_cell_length_b 5.161
_cell_length_c 7.424
_cell_angle_alpha 90.00
_cell_angle_beta 92.42
_cell_angle_gamma 90.00
_space_group_name_H-M_alt 'C 1 2/m 1'
_space_group_IT_number 12
loop_
_space_group_symop_operation_xyz
'x,y,z'
'-x,-y,-z'
'-x,y,-z'
'x,-y,z'
'x+1/2,y+1/2,z'
'-x+1/2,-y+1/2,-z'
'-x+1/2,y+1/2,-z'
'x+1/2,-y+1/2,z'
loop_
_atom_site_label
_atom_site_type_symbol
_atom_site_fract_x
_atom_site_fract_y
_atom_site_fract_z
Sn1 Sn 0.000 0.000 0.000
Ge1 Ge 0.000 0.000 0.500
P1 P 0.140 0.500 0.292
O1 O 0.026 0.253 0.313
O2 O 0.202 0.500 0.101
O3 O 0.229 0.000 0.551

=====

# 5
# SnGePO2 GGA-PBE relaxed
# energy relative to the lowest polymorph listed for this composition	245	meV per atom
# calculated density	4.99	g/cm3
# energy relative to the elements, uncorrected	-279.8	meV/atom
# crystal system	tetragonal
data_SnGePO2
_chemical_formula_sum 'Sn1 Ge1 P1 O2'
_cell_length_a 3.962
_cell_length_b 3.962
_cell_length_c 5.394
_cell_angle_alpha 90.00
_cell_angle_beta 90.00
_cell_angle_gamma 90.00
_space_group_name_H-M_alt 'P 4/m m m'
_space_group_IT_number 123
_space_group_name_Hall '-P 4 2'
loop_
_atom_site_label
_atom_site_type_symbol
_atom_site_fract_x
_atom_site_fract_y
_atom_site_fract_z
Sn1 Sn 0.000 0.000 0.000
Ge1 Ge 0.500 0.500 0.500
P1 P 0.000 0.000 0.500
O1 O 0.000 0.500 0.000

=====

# 6
# SnGePO2 GGA-PBE relaxed
# energy relative to the lowest polymorph listed for this composition	0	meV per atom
# calculated density	5.83	g/cm3
# energy relative to the elements, uncorrected	-524.7	meV/atom
# crystal system	tetragonal
data_SnGePO2
_chemical_formula_sum 'Sn1 Ge1 P1 O2'
_cell_length_a 3.815
_cell_length_b 3.815
_cell_length_c 4.973
_cell_angle_alpha 90.00
_cell_angle_beta 90.00
_cell_angle_gamma 90.00
_space_group_name_H-M_alt 'P 4/m m m'
_space_group_IT_number 123
_space_group_name_Hall '-P 4 2'
loop_
_atom_site_label
_atom_site_type_symbol
_atom_site_fract_x
_atom_site_fract_y
_atom_site_fract_z
Sn1 Sn 0.000 0.000 0.000
Ge1 Ge 0.500 0.500 0.500
P1 P 0.500 0.500 0.000
O1 O 0.000 0.500 0.500